[1]
{"formula": "RbAs2W", "functional": "PBE", "state": "optimized geometry", "dos_ef_per_ev_atom": 0.28, "space_group": "I-42d, No. 122", "mass_density_g_cm3": 4.50, "magmom_total_mub_per_cell": 0.00, "formation_energy_mev_per_atom": 55, "lattice_angstrom": [[7.027, 0.000, 0.000], [0.000, 7.027, 0.000], [3.514, 3.514, 6.267]], "species": ["As", "As", "As", "As", "Rb", "Rb", "W", "W"], "fractional_positions": [[0.375, 0.127, 0.750], [0.877, 0.625, 0.250], [0.873, 0.125, 0.250], [0.875, 0.123, 0.750], [0.250, 0.750, 0.500], [0.500, 0.500, 0.000], [0.750, 0.250, 0.500], [0.000, 0.000, 0.000]]}

[2]
{"formula": "RbAs2W", "functional": "PBE", "state": "optimized geometry", "dos_ef_per_ev_atom": 0.42, "space_group": "Fm-3m, No. 225", "mass_density_g_cm3": 8.30, "magmom_total_mub_per_cell": 1.89, "formation_energy_mev_per_atom": 869, "lattice_angstrom": [[0.000, 3.474, 3.474], [3.474, 0.000, 3.474], [3.474, 3.474, 0.000]], "species": ["As", "As", "W", "Rb"], "fractional_positions": [[0.250, 0.250, 0.250], [0.750, 0.750, 0.750], [0.500, 0.500, 0.500], [0.000, 0.000, 0.000]]}

[3]
{"formula": "RbZr2AsW", "functional": "PBE", "state": "optimized geometry", "dos_ef_per_ev_atom": 0.96, "space_group": "P4/mmm, No. 123", "mass_density_g_cm3": 7.34, "magmom_total_mub_per_cell": 0.00, "formation_energy_mev_per_atom": 2582, "lattice_angstrom": [[-1.590, -3.218, 3.494], [4.267, 0.147, 2.077], [-1.517, 3.835, 2.843]], "species": ["W", "Zr", "Zr", "As", "Rb"], "fractional_positions": [[0.000, 0.500, 0.000], [0.500, 0.000, 0.000], [0.000, 0.000, 0.500], [0.500, 0.500, 0.500], [0.000, 0.000, 0.000]]}

[4]
{"formula": "Rb3YAs", "functional": "PBE", "state": "optimized geometry", "dos_ef_per_ev_atom": 2.10, "space_group": "Pm-3m, No. 221", "mass_density_g_cm3": 1.98, "magmom_total_mub_per_cell": 1.00, "formation_energy_mev_per_atom": 1097, "lattice_angstrom": [[7.061, 0.000, 0.000], [0.000, 7.061, 0.000], [0.000, 0.000, 7.061]], "species": ["Y", "Rb", "Rb", "Rb", "As"], "fractional_positions": [[0.000, 0.000, 0.000], [0.500, 0.000, 0.000], [0.000, 0.500, 0.000], [0.000, 0.000, 0.500], [0.500, 0.500, 0.500]]}

[5]
{"formula": "RbY3As", "functional": "PBE", "state": "optimized geometry", "dos_ef_per_ev_atom": 0.70, "space_group": "Pm-3m, No. 221", "mass_density_g_cm3": 4.54, "magmom_total_mub_per_cell": 0.00, "formation_energy_mev_per_atom": 1380, "lattice_angstrom": [[5.387, 0.000, 0.000], [0.000, 5.387, 0.000], [0.000, 0.000, 5.387]], "species": ["Y", "Y", "Y", "As", "Rb"], "fractional_positions": [[0.000, 0.500, 0.000], [0.500, 0.000, 0.000], [0.000, 0.000, 0.500], [0.500, 0.500, 0.500], [0.000, 0.000, 0.000]]}

[6]
{"formula": "Rb2YAs2", "functional": "PBE", "state": "optimized geometry", "dos_ef_per_ev_atom": 0.36, "space_group": "P4/mbm, No. 127", "mass_density_g_cm3": 4.10, "magmom_total_mub_per_cell": 0.00, "formation_energy_mev_per_atom": -443, "lattice_angstrom": [[-1.080, -6.392, 3.724], [-3.669, -2.805, -5.879], [5.104, -2.127, -2.170]], "species": ["Y", "Y", "Rb", "Rb", "Rb", "Rb", "As", "As", "As", "As"], "fractional_positions": [[0.500, 0.500, 0.000], [0.000, 0.000, 0.000], [0.169, 0.669, 0.500], [0.331, 0.169, 0.500], [0.669, 0.831, 0.500], [0.831, 0.331, 0.500], [0.621, 0.121, 0.000], [0.879, 0.621, 0.000], [0.379, 0.879, 0.000], [0.121, 0.379, 0.000]]}

[7]
{"formula": "RbY3As", "functional": "PBE", "state": "optimized geometry", "dos_ef_per_ev_atom": 2.01, "space_group": "Pm-3m, No. 221", "mass_density_g_cm3": 3.90, "magmom_total_mub_per_cell": 0.00, "formation_energy_mev_per_atom": -59, "lattice_angstrom": [[-2.557, -0.560, 5.026], [-3.810, -3.490, -2.327], [3.325, -4.430, 1.198]], "species": ["Y", "Y", "Y", "As", "Rb"], "fractional_positions": [[0.000, 0.500, 0.000], [0.000, 0.000, 0.500], [0.500, 0.000, 0.000], [0.000, 0.000, 0.000], [0.500, 0.500, 0.500]]}

[8]
{"formula": "Rb3YAs", "functional": "PBE", "state": "optimized geometry", "dos_ef_per_ev_atom": 1.76, "space_group": "Pm-3m, No. 221", "mass_density_g_cm3": 2.30, "magmom_total_mub_per_cell": 1.00, "formation_energy_mev_per_atom": 500, "lattice_angstrom": [[-1.793, 2.850, 5.817], [-2.765, -5.795, 1.987], [5.858, -1.863, 2.718]], "species": ["Y", "Rb", "Rb", "Rb", "As"], "fractional_positions": [[0.500, 0.500, 0.500], [0.000, 0.000, 0.500], [0.500, 0.000, 0.000], [0.000, 0.500, 0.000], [0.000, 0.000, 0.000]]}

[9]
{"formula": "RbY2ZrAs", "functional": "PBE", "state": "optimized geometry", "dos_ef_per_ev_atom": 0.80, "space_group": "P4/mmm, No. 123", "mass_density_g_cm3": 4.18, "magmom_total_mub_per_cell": 0.00, "formation_energy_mev_per_atom": 984, "lattice_angstrom": [[5.507, 0.000, 0.000], [0.000, 5.621, 0.000], [0.000, 0.000, 5.507]], "species": ["Zr", "Y", "Y", "As", "Rb"], "fractional_positions": [[0.000, 0.000, 0.000], [0.000, 0.000, 0.500], [0.500, 0.000, 0.000], [0.500, 0.500, 0.500], [0.000, 0.500, 0.000]]}

[10]
{"formula": "Rb3Zn2As2", "functional": "PBE", "state": "optimized geometry", "dos_ef_per_ev_atom": 0.13, "space_group": "Pbcm, No. 57", "mass_density_g_cm3": 4.02, "magmom_total_mub_per_cell": 0.00, "formation_energy_mev_per_atom": -237, "lattice_angstrom": [[-6.609, -0.153, -1.583], [2.107, -3.597, -8.451], [-0.953, -12.805, 5.213]], "species": ["As", "As", "As", "As", "As", "As", "As", "As", "Rb", "Rb", "Rb", "Rb", "Rb", "Rb", "Rb", "Rb", "Rb", "Rb", "Rb", "Rb", "Zn", "Zn", "Zn", "Zn", "Zn", "Zn", "Zn", "Zn"], "fractional_positions": [[0.585, 0.750, 0.000], [0.227, 0.945, 0.250], [0.773, 0.445, 0.250], [0.773, 0.055, 0.750], [0.585, 0.750, 0.500], [0.227, 0.555, 0.750], [0.415, 0.250, 0.000], [0.415, 0.250, 0.500], [0.320, 0.206, 0.750], [0.894, 0.356, 0.610], [0.320, 0.294, 0.250], [0.680, 0.794, 0.250], [0.680, 0.706, 0.750], [0.894, 0.144, 0.390], [0.106, 0.644, 0.110], [0.106, 0.856, 0.610], [0.894, 0.356, 0.890], [0.106, 0.644, 0.390], [0.894, 0.144, 0.110], [0.106, 0.856, 0.890], [0.394, 0.514, 0.916], [0.606, 0.486, 0.416], [0.394, 0.986, 0.084], [0.606, 0.014, 0.584], [0.394, 0.514, 0.584], [0.606, 0.486, 0.084], [0.394, 0.986, 0.416], [0.606, 0.014, 0.916]]}

[11]
{"formula": "RbZn6As4", "functional": "PBE", "state": "optimized geometry", "dos_ef_per_ev_atom": 0.18, "space_group": "I4/mmm, No. 139", "mass_density_g_cm3": 5.19, "magmom_total_mub_per_cell": 0.00, "formation_energy_mev_per_atom": -195, "lattice_angstrom": [[-1.711, 3.029, 2.674], [-3.633, 0.116, -2.457], [-2.536, -10.926, 7.153]], "species": ["As", "As", "As", "As", "Zn", "Zn", "Zn", "Zn", "Zn", "Zn", "Rb"], "fractional_positions": [[0.415, 0.415, 0.831], [0.585, 0.585, 0.169], [0.197, 0.197, 0.393], [0.803, 0.803, 0.607], [0.865, 0.365, 0.730], [0.635, 0.135, 0.270], [0.750, 0.250, 0.500], [0.250, 0.750, 0.500], [0.135, 0.635, 0.270], [0.365, 0.865, 0.730], [0.000, 0.000, 0.000]]}

[12]
{"formula": "RbZn2As2", "functional": "PBE", "state": "optimized geometry", "dos_ef_per_ev_atom": 0.59, "space_group": "P4/mmm, No. 123", "mass_density_g_cm3": 4.91, "magmom_total_mub_per_cell": 0.00, "formation_energy_mev_per_atom": -115, "lattice_angstrom": [[4.025, 0.000, 0.000], [0.000, 4.025, 0.000], [0.000, 0.000, 7.639]], "species": ["Zn", "Zn", "Rb", "As", "As"], "fractional_positions": [[0.000, 0.500, 0.500], [0.500, 0.000, 0.500], [0.000, 0.000, 0.000], [0.500, 0.500, 0.719], [0.500, 0.500, 0.281]]}

[13]
{"formula": "Rb3ZnAs", "functional": "PBE", "state": "optimized geometry", "dos_ef_per_ev_atom": 0.62, "space_group": "Pm-3m, No. 221", "mass_density_g_cm3": 2.09, "magmom_total_mub_per_cell": 0.00, "formation_energy_mev_per_atom": 31, "lattice_angstrom": [[6.810, 0.000, 0.000], [0.000, 6.810, 0.000], [0.000, 0.000, 6.810]], "species": ["Rb", "Rb", "Rb", "Zn", "As"], "fractional_positions": [[0.000, 0.500, 0.000], [0.500, 0.000, 0.000], [0.000, 0.000, 0.500], [0.500, 0.500, 0.500], [0.000, 0.000, 0.000]]}

[14]
{"formula": "RbZnAs", "functional": "PBE", "state": "optimized geometry", "space_group": "Pnma, No. 62", "mass_density_g_cm3": 3.90, "magmom_total_mub_per_cell": 0.00, "formation_energy_mev_per_atom": -400, "lattice_angstrom": [[-1.613, 1.382, 3.688], [-7.552, -0.235, -3.215], [-1.127, -10.408, 3.409]], "species": ["Rb", "Rb", "Rb", "Rb", "As", "As", "As", "As", "Zn", "Zn", "Zn", "Zn"], "fractional_positions": [[0.250, 0.481, 0.682], [0.750, 0.519, 0.318], [0.250, 0.981, 0.818], [0.750, 0.019, 0.182], [0.250, 0.705, 0.076], [0.750, 0.795, 0.576], [0.250, 0.205, 0.424], [0.750, 0.295, 0.924], [0.750, 0.099, 0.507], [0.750, 0.599, 0.993], [0.250, 0.901, 0.493], [0.250, 0.401, 0.007]]}

[15]
{"formula": "Rb5ZnAs2", "functional": "PBE", "state": "optimized geometry", "dos_ef_per_ev_atom": 0.18, "space_group": "C2/m, No. 12", "mass_density_g_cm3": 2.53, "magmom_total_mub_per_cell": 0.00, "formation_energy_mev_per_atom": -297, "lattice_angstrom": [[-2.432, 5.316, 0.966], [-5.807, 0.442, 1.095], [-0.327, 0.602, 14.258]], "species": ["Rb", "Rb", "Rb", "Rb", "Rb", "Zn", "As", "As"], "fractional_positions": [[0.500, 0.500, 0.500], [0.249, 0.249, 0.251], [0.751, 0.751, 0.749], [0.365, 0.365, 0.908], [0.635, 0.635, 0.092], [0.000, 0.000, 0.000], [0.943, 0.943, 0.169], [0.057, 0.057, 0.831]]}

[16]
{"formula": "Rb2ZnAs2", "functional": "PBE", "state": "optimized geometry", "dos_ef_per_ev_atom": 0.97, "space_group": "I4/mmm, No. 139", "mass_density_g_cm3": 3.21, "magmom_total_mub_per_cell": 0.00, "formation_energy_mev_per_atom": -8, "lattice_angstrom": [[-5.152, 1.229, -4.240], [4.133, -0.950, -5.296], [-1.504, -4.090, -4.786]], "species": ["As", "As", "Rb", "Rb", "Zn"], "fractional_positions": [[0.366, 0.366, 0.267], [0.634, 0.634, 0.733], [0.750, 0.250, 0.500], [0.250, 0.750, 0.500], [0.000, 0.000, 0.000]]}

[17]
{"formula": "RbZnAs3", "functional": "PBE", "state": "optimized geometry", "dos_ef_per_ev_atom": 0.77, "space_group": "Pm-3m, No. 221", "mass_density_g_cm3": 3.31, "magmom_total_mub_per_cell": 0.00, "formation_energy_mev_per_atom": 1752, "lattice_angstrom": [[5.733, 0.000, 0.000], [0.000, 5.733, 0.000], [0.000, 0.000, 5.733]], "species": ["Rb", "As", "As", "As", "Zn"], "fractional_positions": [[0.000, 0.000, 0.000], [0.500, 0.000, 0.000], [0.000, 0.500, 0.000], [0.000, 0.000, 0.500], [0.500, 0.500, 0.500]]}

[18]
{"formula": "Rb2ZnAs", "functional": "PBE", "state": "optimized geometry", "dos_ef_per_ev_atom": 0.28, "space_group": "C2/c, No. 15", "mass_density_g_cm3": 3.19, "magmom_total_mub_per_cell": 0.00, "formation_energy_mev_per_atom": -222, "lattice_angstrom": [[5.067, 0.000, 0.000], [0.000, 11.989, -0.009], [-2.533, -3.011, 5.342]], "species": ["Zn", "Zn", "As", "As", "Rb", "Rb", "Rb", "Rb"], "fractional_positions": [[0.329, 0.750, 0.000], [0.671, 0.250, 0.000], [0.173, 0.250, 0.000], [0.827, 0.750, 0.000], [0.248, 0.590, 0.349], [0.101, 0.090, 0.349], [0.752, 0.410, 0.651], [0.899, 0.910, 0.651]]}

[19]
{"formula": "Rb2ZnAs", "functional": "PBE", "state": "optimized geometry", "dos_ef_per_ev_atom": 0.70, "space_group": "I-42d, No. 122", "mass_density_g_cm3": 3.26, "magmom_total_mub_per_cell": 0.00, "formation_energy_mev_per_atom": 321, "lattice_angstrom": [[5.282, 0.000, 0.000], [0.000, 5.282, 0.000], [2.641, 2.641, 11.350]], "species": ["Rb", "Rb", "Rb", "Rb", "Zn", "Zn", "As", "As"], "fractional_positions": [[0.625, 0.125, 0.250], [0.125, 0.625, 0.250], [0.875, 0.875, 0.750], [0.375, 0.375, 0.750], [0.250, 0.750, 0.500], [0.500, 0.500, 0.000], [0.750, 0.250, 0.500], [0.000, 0.000, 0.000]]}

[20]
{"formula": "RbZnAs", "functional": "PBE", "state": "optimized geometry", "dos_ef_per_ev_atom": 0.25, "space_group": "I4mm, No. 107", "mass_density_g_cm3": 4.26, "magmom_total_mub_per_cell": 0.00, "formation_energy_mev_per_atom": -75, "lattice_angstrom": [[3.767, 0.000, 0.000], [0.000, 3.767, 0.000], [-1.883, -1.883, 6.206]], "species": ["As", "Zn", "Rb"], "fractional_positions": [[0.733, 0.733, 0.467], [0.261, 0.261, 0.523], [0.005, 0.005, 0.011]]}